[1]
PBE SrBeTlO4, relaxed; DOS at the Fermi energy = 0.489 states/eV/atom; magnetization = 2.03 μB per cell; formation energy (no corrections) = -1.67 eV/atom; space group = No. 11; final energy = -5.61 eV/atom
1.0
5.426 0.000 0.000
0.000 5.397 0.000
-2.101 0.000 6.400
Sr Be Tl O
2 2 2 8
direct
0.212 0.250 0.428
0.788 0.750 0.572
0.253 0.750 0.187
0.747 0.250 0.813
0.293 0.250 0.948
0.707 0.750 0.052
0.062 0.750 0.948
0.071 0.750 0.340
0.467 0.521 0.224
0.467 0.979 0.224
0.533 0.021 0.776
0.533 0.479 0.776
0.929 0.250 0.660
0.938 0.250 0.052

[2]
PBE SrBeTlO2, relaxed; DOS at the Fermi energy = 1.343 states/eV/atom; magnetization = 0.00 μB per cell; formation energy (no corrections) = 0.22 eV/atom; space group = No. 123; final energy = -3.32 eV/atom
1.0
4.518 0.000 0.000
0.000 4.518 0.000
0.000 0.000 6.872
Sr Be Tl O
1 1 1 2
direct
0.000 0.000 0.000
0.500 0.500 0.500
0.000 0.000 0.500
0.000 0.500 0.000
0.500 0.000 0.000